5
Lattice="3.540 0.000 0.000 0.000 3.540 0.000 0.000 0.000 5.151" Properties=species:S:1:pos:R:3 comment="MnHgBO2 PBE+U optimized geometry" sg="P4/mmm (123)" energy_ev_per_cell=-22.45 pbc="T T T"
Mn 0.000 0.000 0.000
Hg 1.770 1.770 0.000
B 0.000 0.000 2.575
O 0.000 1.770 2.575
O 1.770 0.000 2.575